No. 1
Material: Ac12ScPb6
Method: DFT, PBE
State: relaxed

* formation enthalpy at 0 K: -0.110 eV/atom

Lattice parameters (Å, degrees): 9.6197 9.6197 9.6197 100.33 100.33 100.33
Fractional coordinates of all 19 atoms:
Ac 0.8105 0.5813 0.4436
Ac 0.4436 0.8105 0.5813
Ac 0.5813 0.4436 0.8105
Ac 0.1895 0.4187 0.5564
Ac 0.5564 0.1895 0.4187
Ac 0.4187 0.5564 0.1895
Ac 0.0635 0.9762 0.3242
Ac 0.0238 0.6758 0.9365
Ac 0.6758 0.9365 0.0238
Ac 0.9365 0.0238 0.6758
Ac 0.9762 0.3242 0.0635
Ac 0.3242 0.0635 0.9762
Sc 0.0000 0.0000 0.0000
Pb 0.6864 0.8755 0.3601
Pb 0.6399 0.3136 0.1245
Pb 0.1245 0.6399 0.3136
Pb 0.3136 0.1245 0.6399
Pb 0.3601 0.6864 0.8755
Pb 0.8755 0.3601 0.6864

=====

No. 2
Material: KNdRuO6
Method: DFT, PBE
State: relaxed

* VASP energy: -58.019 eV/f.u.

Lattice parameters (Å, degrees): 5.7500 5.7501 5.7236 90.00 90.00 60.00
Fractional coordinates of all 9 atoms:
K 0.0000 0.0000 0.9997
Nd 0.6666 0.6667 0.4993
Ru 0.3333 0.3333 0.5003
O 0.0577 0.3480 0.3103
O 0.3488 0.0573 0.6899
O 0.5938 0.3489 0.6899
O 0.0572 0.5939 0.6899
O 0.3480 0.5943 0.3103
O 0.5943 0.0577 0.3103

=====

No. 3
Material: ZnHW3
Method: DFT, PBE
State: relaxed

* distance to the lowest polymorph of the same formula: 0.000 eV/atom

Lattice parameters (Å, degrees): 4.0158 4.0158 4.0158 90.00 90.00 90.00
Fractional coordinates of all 5 atoms:
H 0.0000 0.0000 0.0000
Zn 0.5000 0.5000 0.5000
W 0.0000 0.5000 0.0000
W 0.0000 0.0000 0.5000
W 0.5000 0.0000 0.0000

=====

No. 4
Material: AgPH
Method: DFT, PBE
State: relaxed

* distance to the lowest polymorph of the same formula: 0.036 eV/atom

Lattice parameters (Å, degrees): 4.3651 4.6999 5.7734 86.46 71.37 69.12
Fractional coordinates of all 6 atoms:
Ag 0.0834 0.1005 0.5534
Ag 0.4912 0.0198 0.9408
P 0.3488 0.5600 0.0324
P 0.0616 0.6151 0.4410
H 0.7236 0.7219 0.4144
H 0.0427 0.6574 0.9608

=====

No. 5
Material: CePmGdTl
Method: DFT, PBE
State: relaxed

* formation enthalpy at 0 K: -0.005 eV/atom

Lattice parameters (Å, degrees): 5.4967 5.4967 5.4967 60.00 60.00 60.00
Fractional coordinates of all 4 atoms:
Tl 0.7500 0.7500 0.7500
Gd 0.0000 0.0000 0.0000
Ce 0.2500 0.2500 0.2500
Pm 0.5000 0.5000 0.5000

=====

No. 6
Material: Nb2ReAg
Method: DFT, PBE
State: relaxed

* formation enthalpy at 0 K: 0.199 eV/atom
* distance to the lowest polymorph of the same formula: 0.000 eV/atom

Lattice parameters (Å, degrees): 4.6070 4.6070 4.6070 60.00 60.00 60.00
Fractional coordinates of all 4 atoms:
Re 0.5000 0.5000 0.5000
Nb 0.2500 0.2500 0.2500
Nb 0.7500 0.7500 0.7500
Ag 0.0000 0.0000 0.0000

=====

No. 7
Material: Tb2MnC2
Method: DFT, PBE
State: relaxed

* formation enthalpy at 0 K: -0.293 eV/atom
* distance to the lowest polymorph of the same formula: 0.000 eV/atom

Lattice parameters (Å, degrees): 5.0908 6.0542 6.6375 117.91 90.00 114.86
Fractional coordinates of all 10 atoms:
Tb 0.6817 0.3634 0.6190
Tb 0.3183 0.6366 0.3810
Tb 0.0397 0.0793 0.7857
Tb 0.9603 0.9207 0.2143
Mn 0.3700 0.7400 0.8683
Mn 0.6300 0.2600 0.1317
C 0.1889 0.3777 0.6187
C 0.8111 0.6223 0.3813
C 0.4873 0.9745 0.2060
C 0.5127 0.0255 0.7940

=====

No. 8
Material: TlMoRu
Method: DFT, PBE
State: relaxed

* formation enthalpy at 0 K: 0.361 eV/atom
* distance to the lowest polymorph of the same formula: 0.000 eV/atom

Lattice parameters (Å, degrees): 6.2846 6.2846 6.2846 152.42 152.42 39.41
Fractional coordinates of all 3 atoms:
Mo 0.9787 0.9787 0.0000
Ru 0.3522 0.3522 0.0000
Tl 0.6690 0.6690 0.0000